(1)
11
Lattice="-3.584 -3.151 4.236 4.288 -3.397 -3.285 3.727 2.383 3.823" Properties=species:S:1:pos:R:3 comment="K2IrPb2O6 (GGA-PBE, relaxed)" m_tot_mub_per_fu=1.746 n_ef_per_ev_cell=5.5 sg="C2/m (12)" e_tot_ev_per_atom=-5.464 volume_a3_per_atom=18.696 pbc="T T T"
O 0.739 -4.678 2.942
K 3.401 -2.120 1.255
O 1.680 0.576 3.756
O 3.693 0.513 1.832
O 2.752 -4.741 1.019
Ir 1.864 1.191 1.912
Pb 3.060 -3.359 -2.111
K 1.031 -2.046 3.519
O 3.395 -3.657 3.673
Pb -2.355 -3.190 3.062
O 1.037 -0.508 1.102



(2)
12
Lattice="5.751 -0.510 -0.289 -0.405 4.299 0.910 -0.414 1.516 7.508" Properties=species:S:1:pos:R:3 comment="KIrPb2O8 (GGA-PBE, relaxed)" m_tot_mub_per_fu=0.000 n_ef_per_ev_cell=4.4 sg="P-1 (2)" e_tot_ev_per_atom=-5.515 volume_a3_per_atom=14.666 pbc="T T T"
O 2.853 1.177 3.715
O 0.107 2.912 2.085
Ir 0.000 0.000 0.000
O 4.551 0.122 1.049
O 0.381 5.184 7.079
O 2.079 4.129 4.414
Pb 2.544 2.498 6.165
K -0.207 0.758 3.754
O 3.288 4.364 7.519
Pb 2.388 2.808 1.963
O 1.644 0.941 0.610
O 4.825 2.394 6.044



(3)
9
Lattice="-3.371 -0.266 4.496 -4.207 -3.733 0.145 3.556 -3.913 2.436" Properties=species:S:1:pos:R:3 comment="KIrPbO6 (GGA-PBE, relaxed)" m_tot_mub_per_fu=0.000 n_ef_per_ev_cell=4.4 sg="P312 (149)" e_tot_ev_per_atom=-5.643 volume_a3_per_atom=17.730 pbc="T T T"
O -1.099 -1.541 3.449
O -0.212 -4.941 1.968
O 1.058 -2.961 3.294
O -2.615 -3.540 2.450
Pb -3.274 -4.622 4.312
O -0.552 -2.561 1.009
K 0.185 -4.179 6.932
Ir -0.748 -3.289 2.765
O -1.066 -4.192 4.418



(4)
8
Lattice="5.750 0.118 0.181 -2.343 5.252 -0.181 -2.343 -2.280 4.735" Properties=species:S:1:pos:R:3 comment="K2IrPbO4 (GGA-PBE, relaxed)" m_tot_mub_per_fu=3.004 n_ef_per_ev_cell=0.6 sg="I-4 (82)" e_tot_ev_per_atom=-5.395 volume_a3_per_atom=18.147 pbc="T T T"
K 0.532 3.428 1.138
O -1.044 2.518 3.261
O 1.842 0.741 1.732
Ir -2.343 1.486 2.277
O -1.963 -0.064 3.359
K 0.000 0.000 0.000
O 3.293 2.987 1.118
Pb 0.532 -0.337 3.597



(5)
12
Lattice="5.198 0.000 0.000 -2.599 4.502 0.000 0.000 0.000 8.643" Properties=species:S:1:pos:R:3 comment="KIr2PdO8 (GGA-PBE, relaxed)" m_tot_mub_per_fu=0.794 n_ef_per_ev_cell=8.9 sg="P-3 (147)" e_tot_ev_per_atom=-5.847 volume_a3_per_atom=16.857 pbc="T T T"
O 3.502 0.076 3.091
Pd 0.000 0.000 4.322
O -0.783 1.507 5.552
O 2.599 1.501 0.586
O 1.686 3.071 5.552
O 0.000 3.001 8.057
K 0.000 0.000 0.000
O -0.903 4.426 5.552
Ir 0.000 3.001 6.274
O 3.382 2.995 3.091
O 0.914 1.431 3.091
Ir 2.599 1.501 2.370



(6)
8
Lattice="-0.835 -5.539 -0.380 4.617 1.293 2.921 -4.091 2.612 2.821" Properties=species:S:1:pos:R:3 comment="K2IrPdO4 (GGA-PBE, relaxed)" m_tot_mub_per_fu=1.014 n_ef_per_ev_cell=3.4 sg="I-4 (82)" e_tot_ev_per_atom=-5.296 volume_a3_per_atom=16.881 pbc="T T T"
K 2.022 -1.147 2.706
O 1.229 -3.608 1.912
K 0.000 0.000 0.000
Ir 0.263 1.952 2.871
O -0.852 -1.859 1.771
Pd -2.332 -0.487 2.656
O 0.596 0.622 4.174
O -1.592 1.577 2.866



(7)
12
Lattice="-5.257 -1.815 1.769 4.884 -2.043 2.457 -0.044 5.481 2.463" Properties=species:S:1:pos:R:3 comment="K3IrPd2O6 (GGA-PBE, relaxed)" m_tot_mub_per_fu=2.062 n_ef_per_ev_cell=5.0 sg="C2/m (12)" e_tot_ev_per_atom=-5.185 volume_a3_per_atom=13.872 pbc="T T T"
O 1.495 0.032 1.440
K -3.543 0.886 3.118
K 3.126 0.736 3.571
Pd -1.856 -1.892 2.000
O -0.285 -1.890 3.574
O -0.132 3.513 3.114
Pd 1.483 -1.967 2.226
Ir 0.000 0.000 0.000
O -1.912 1.591 5.249
O -1.672 0.103 1.225
K -0.209 0.811 3.344
O 1.255 1.520 5.464



(8)
10
Lattice="5.342 0.000 0.000 0.000 5.975 0.000 0.000 -2.988 5.175" Properties=species:S:1:pos:R:3 comment="K2IrPdO6 (GGA-PBE, relaxed)" m_tot_mub_per_fu=3.041 n_ef_per_ev_cell=0.6 sg="P-3m1 (164)" e_tot_ev_per_atom=-5.466 volume_a3_per_atom=16.517 pbc="T T T"
K 1.443 0.000 3.450
Ir 0.000 0.000 0.000
K 3.899 2.988 1.725
O 1.273 4.676 0.750
O 1.273 2.988 3.674
Pd 2.671 0.000 0.000
O 4.068 0.000 1.500
O 4.068 1.688 4.425
O 4.068 -1.688 4.425
O 1.273 1.299 0.750



(9)
12
Lattice="-2.181 5.497 1.087 -2.288 -4.764 2.869 5.197 0.935 5.697" Properties=species:S:1:pos:R:3 comment="KPmIr2O8 (GGA-PBE, relaxed)" m_tot_mub_per_fu=2.088 n_ef_per_ev_cell=8.0 sg="P-3m1 (164)" e_tot_ev_per_atom=-6.412 volume_a3_per_atom=20.271 pbc="T T T"
O 2.439 -0.039 5.101
Ir -1.087 2.280 2.919
O -1.710 1.708 4.552
Ir 1.816 -0.611 6.734
K 0.000 0.000 0.000
O 0.473 1.353 2.619
O -0.595 4.037 3.152
O 0.256 0.316 7.034
Pm 2.599 0.468 2.849
O 1.324 -2.368 6.501
O -2.191 -1.333 2.342
O 2.920 3.001 7.312



(10)
18
Lattice="6.778 -0.349 -0.247 3.044 6.066 -0.247 3.044 1.772 5.806" Properties=species:S:1:pos:R:3 comment="K2PmIr3O12 (GGA-PBE, relaxed)" m_tot_mub_per_fu=2.045 n_ef_per_ev_cell=12.9 sg="R-3m (166)" e_tot_ev_per_atom=-6.302 volume_a3_per_atom=13.963 pbc="T T T"
Pm 0.000 0.000 0.000
O 5.166 5.625 3.990
O 8.111 6.642 4.711
O 3.085 3.716 0.601
O 7.700 1.864 1.322
O 9.781 3.773 4.711
O 4.755 0.847 0.601
O 9.781 5.693 2.003
O 7.443 1.714 3.990
O 3.085 1.796 3.309
O 7.443 4.332 0.298
Ir 3.389 -0.174 -0.124
O 5.423 3.157 5.014
O 5.423 5.775 1.322
K 5.116 2.978 2.112
Ir 1.522 3.033 -0.124
Ir 1.522 0.886 2.903
K 7.750 4.511 3.200



(11)
12
Lattice="5.952 0.006 0.007 -2.969 5.159 0.007 -0.987 -1.709 6.262" Properties=species:S:1:pos:R:3 comment="K3Pm2IrO6 (GGA-PBE, relaxed)" m_tot_mub_per_fu=0.000 n_ef_per_ev_cell=0.0 sg="C2/m (12)" e_tot_ev_per_atom=-6.267 volume_a3_per_atom=16.045 pbc="T T T"
O 2.917 1.850 5.077
K 4.033 -0.025 3.138
O 2.053 3.554 1.196
Pm 2.984 1.720 0.007
Pm -0.001 3.444 0.007
O -0.057 -0.099 5.080
K -2.037 3.481 3.138
O 0.144 3.451 5.077
K 0.998 1.728 3.138
Ir 0.000 0.000 0.000
O 1.851 0.004 1.200
O -0.922 1.606 1.200



(12)
11
Lattice="-1.128 -3.415 -4.701 5.366 2.417 0.625 0.734 -4.855 4.420" Properties=species:S:1:pos:R:3 comment="K2Pm2IrO6 (GGA-PBE, relaxed)" m_tot_mub_per_fu=1.053 n_ef_per_ev_cell=8.1 sg="C2/m (12)" e_tot_ev_per_atom=-6.623 volume_a3_per_atom=17.706 pbc="T T T"
O 2.655 -3.279 -2.640
O 2.318 -2.574 2.984
K -0.119 -2.508 -3.873
K 4.357 1.510 -0.203
Ir 0.367 -2.427 2.210
O 0.338 -4.351 1.360
O 3.704 -4.053 -0.079
O 4.635 -1.501 -1.016
Pm 1.423 -3.881 -0.700
O 1.268 -1.800 0.424
Pm 3.550 -1.971 1.044